Material: BeOsBr2
Method: DFT, PBE
State: relaxed

It has space group Pm (No. 6), with a = 3.4005 Å, b = 3.0997 Å, c = 8.0226 Å, α = 90.00°, β = 96.38° and γ = 90.00°. The inequivalent atoms are Be at (0.0000, 0.0000, 0.0000), Os at (0.5199, 0.5000, 0.0929), Br at (0.2764, 0.5000, 0.7889) and Br at (0.6114, 0.0000, 0.3399).

The distance to the lowest polymorph of the same formula comes out at 0.0202 eV/atom.